DFT (PBE) results for crystalline LaCr2Cd at its relaxed geometry.

Summary:
D(E_F), states/eV/f.u.: 2.9
DFT formation energy, kJ per mole of atoms: 34.7

Lattice parameters (Å, degrees): 7.1120 7.1120 7.1120 90.00 90.00 90.00
Closest atoms and distances in Å follow each position.
Space group F-43m (No. 216)
Inequivalent atoms, fractional coordinates:
La 0.0000 0.0000 0.0000 [4 per cell]  4 Cr 3.08, 4 Cd 3.08
Cr 0.0000 0.0000 0.5000 [4 per cell]  4 Cd 3.08, 4 Cr 3.08
Cr 0.2500 0.2500 0.7500 [4 per cell]  4 Cr 3.08, 4 La 3.08
Cd 0.2500 0.2500 0.2500 [4 per cell]  4 Cr 3.08, 4 La 3.08